## OsAu (PBE)

Data for a geometry-optimized OsAu structure.

Unit cell a=7.852 b=14.734 c=4.816 alpha=90.00 beta=90.00 gamma=90.00
Fractional coordinates of all 32 atoms:
Au 0.167 0.500 0.000
Os 0.000 0.915 0.000
Os 0.500 0.585 0.000
Au 0.917 0.250 0.750
Au 0.667 0.500 0.500
Au 0.333 0.000 0.000
Au 0.917 0.750 0.250
Au 0.583 0.250 0.750
Os 0.500 0.085 0.500
Au 0.083 0.750 0.750
Os 0.000 0.585 0.500
Au 0.833 0.500 0.000
Os 0.250 0.165 0.750
Os 0.750 0.335 0.250
Os 0.250 0.335 0.750
Au 0.583 0.750 0.250
Au 0.833 0.000 0.500
Au 0.167 0.000 0.500
Au 0.417 0.750 0.750
Au 0.417 0.250 0.250
Os 0.500 0.915 0.500
Os 0.250 0.665 0.250
Os 0.500 0.415 0.000
Au 0.083 0.250 0.250
Au 0.333 0.500 0.500
Os 0.000 0.085 0.000
Os 0.750 0.665 0.750
Os 0.000 0.415 0.500
Os 0.750 0.165 0.250
Os 0.250 0.835 0.250
Au 0.667 0.000 0.000
Os 0.750 0.835 0.750

Properties
* space-group type: No. 70
* energy relative to the lowest polymorph listed for this composition: 527 meV/atom
* ΔH_f (0 K): 810.8 meV/atom
* magnetization: 0.00 Bohr magnetons per cell